[1]
# BaSb2MoRh

Crystalline BaSb2MoRh at its relaxed geometry (PBE, the Alexandria database).

As for the crystal system: tetragonal. Its density of states at the Fermi level is 9.869 states/eV/cell. Its uncorrected formation energy is 2.399 eV per atom. The calculation puts the final energy at -3.2711 eV per atom.

The space group is P4/mmm (No. 123) and the conventional cell measures 5.999, 5.999 and 5.344 Å, with angles of 90.00, 90.00 and 90.00 degrees. The inequivalent atoms are Ba at (0.000, 0.000, 0.000), Sb at (0.000, 0.500, 0.000), Mo at (0.000, 0.000, 0.500) and Rh at (0.500, 0.500, 0.500).

***

[2]
# BaSrMoRh2

Crystalline BaSrMoRh2 at its relaxed geometry (PBE, the Alexandria database).

As for the crystal system: tetragonal. The formation energy comes out at 1.54 eV/atom. Its density of states at the Fermi level is 3.991 states/eV/cell. The calculation puts the final energy at -4.2888 eV per atom.

The space group is P4/mmm (No. 123) and the conventional cell measures 5.193, 5.193 and 5.366 Å, with angles of 90.00, 90.00 and 90.00 degrees. The inequivalent atoms are Ba at (0.000, 0.000, 0.000), Sr at (0.500, 0.500, 0.500), Mo at (0.000, 0.000, 0.500) and Rh at (0.000, 0.500, 0.000).

***

[3]
# Ba2MoRu

Crystalline Ba2MoRu at its relaxed geometry (PBE, the Alexandria database).

The energy above the most stable polymorph in this dataset is 42 meV/atom. As for the crystal system: orthorhombic. The formation energy comes out at 0.57 eV/atom. Its density of states at the Fermi level is 9.602 states/eV/cell. The calculation puts the final energy at -5.4160 eV per atom.

The space group is Imm2 (No. 44) and the conventional cell measures 3.918, 5.531 and 11.725 Å, with angles of 90.00, 90.00 and 90.00 degrees. The inequivalent atoms are Ba at (0.000, 0.000, 0.000), Ba at (0.000, 0.500, 0.217), Mo at (0.000, 0.000, 0.411) and Ru at (0.000, 0.500, 0.801).